Record 1
A plane-wave DFT calculation with PBE was carried out for a relaxed structure of La5PmMg.

Cell lengths 6.702, 6.702, 11.815 Å; angles 103.68, 103.68, 96.32 degrees
Atoms (fractional coordinates):
La1 0.036 0.381 0.835
La2 0.155 0.845 0.750
La3 0.227 0.537 0.477
La4 0.381 0.036 0.335
La5 0.463 0.773 0.023
La6 0.537 0.227 0.977
La7 0.619 0.964 0.665
La8 0.773 0.463 0.523
La9 0.845 0.155 0.250
La10 0.964 0.619 0.165
Pm1 0.483 0.517 0.250
Pm2 0.517 0.483 0.750
Mg1 0.000 0.000 0.000
Mg2 0.000 0.000 0.500

E above lowest polymorph   0 meV per atom
DFT total energy   -30.44 eV per formula unit
Total magnetization   0.00 μB per formula unit
Space-group type   No. 15
Crystal system   monoclinic

Record 2
A plane-wave DFT calculation with PBE was carried out for a relaxed structure of La7Pm3Mg.

Cell lengths 7.258, 7.258, 8.821 Å; angles 90.00, 90.00, 120.00 degrees
Atoms (fractional coordinates):
La1 0.000 0.000 0.000
La2 0.000 0.500 0.005
La3 0.330 0.165 0.667
La4 0.500 0.000 0.005
La5 0.500 0.500 0.005
La6 0.835 0.165 0.667
La7 0.835 0.670 0.667
Pm1 0.165 0.330 0.335
Pm2 0.165 0.835 0.335
Pm3 0.670 0.835 0.335
Mg1 0.333 0.667 0.671

E above lowest polymorph   0 meV per atom
DFT total energy   -48.65 eV per formula unit
Total magnetization   0.00 μB per formula unit
Space-group type   No. 156
Crystal system   trigonal

Record 3
A plane-wave DFT calculation with PBE was carried out for a relaxed structure of La12Pm3Mg.

Cell lengths 5.210, 5.210, 20.935 Å; angles 90.00, 90.00, 90.00 degrees
Atoms (fractional coordinates):
La1 0.000 0.000 0.000
La2 0.000 0.000 0.248
La3 0.000 0.000 0.500
La4 0.000 0.000 0.752
La5 0.000 0.500 0.122
La6 0.000 0.500 0.373
La7 0.000 0.500 0.627
La8 0.000 0.500 0.878
La9 0.500 0.000 0.122
La10 0.500 0.000 0.373
La11 0.500 0.000 0.627
La12 0.500 0.000 0.878
Pm1 0.500 0.500 0.246
Pm2 0.500 0.500 0.500
Pm3 0.500 0.500 0.754
Mg1 0.500 0.500 0.000

DFT total energy   -74.97 eV per formula unit
Total magnetization   0.00 μB per formula unit
Space-group type   No. 123
Crystal system   tetragonal

Record 4
A plane-wave DFT calculation with PBE was carried out for a relaxed structure of La4Pm8Mg.

Cell lengths 6.582, 6.582, 11.977 Å; angles 100.26, 100.26, 110.42 degrees
Atoms (fractional coordinates):
La1 0.000 0.000 0.000
La2 0.000 0.500 0.500
La3 0.500 0.000 0.500
La4 0.500 0.500 0.000
Pm1 0.077 0.097 0.677
Pm2 0.170 0.667 0.797
Pm3 0.373 0.870 0.203
Pm4 0.399 0.419 0.323
Pm5 0.601 0.581 0.677
Pm6 0.627 0.130 0.797
Pm7 0.830 0.333 0.203
Pm8 0.923 0.903 0.323
Mg1 0.000 0.500 0.000

DFT total energy   -57.79 eV per formula unit
Total magnetization   0.00 μB per formula unit
Space-group type   No. 2
Crystal system   triclinic

Record 5
A plane-wave DFT calculation with PBE was carried out for a relaxed structure of LaPm5Mg.

Cell lengths 6.157, 6.157, 12.687 Å; angles 81.73, 81.79, 87.99 degrees
Atoms (fractional coordinates):
La1 0.147 0.352 0.250
La2 0.853 0.648 0.750
Pm1 0.022 0.784 0.430
Pm2 0.038 0.883 0.136
Pm3 0.284 0.521 0.931
Pm4 0.383 0.538 0.636
Pm5 0.467 0.032 0.750
Pm6 0.533 0.968 0.250
Pm7 0.617 0.462 0.364
Pm8 0.716 0.479 0.069
Pm9 0.962 0.117 0.864
Pm10 0.978 0.216 0.570
Mg1 0.500 0.000 0.000
Mg2 0.500 0.000 0.500

DFT total energy   -29.59 eV per formula unit
Total magnetization   0.00 μB per formula unit
Space-group type   No. 2
Crystal system   triclinic

Record 6
A plane-wave DFT calculation with PBE was carried out for a relaxed structure of La2Pm5Mg.

Cell lengths 9.670, 9.670, 9.609 Å; angles 96.38, 96.38, 140.11 degrees
Atoms (fractional coordinates):
La1 0.000 0.000 0.000
La2 0.000 0.000 0.500
La3 0.000 0.500 0.000
La4 0.500 0.000 0.500
Pm1 0.064 0.426 0.612
Pm2 0.287 0.399 0.862
Pm3 0.386 0.614 0.250
Pm4 0.399 0.287 0.362
Pm5 0.426 0.064 0.112
Pm6 0.574 0.936 0.888
Pm7 0.601 0.713 0.638
Pm8 0.614 0.386 0.750
Pm9 0.713 0.601 0.138
Pm10 0.936 0.574 0.388
Mg1 0.147 0.853 0.750
Mg2 0.853 0.147 0.250

DFT total energy   -33.83 eV per formula unit
Total magnetization   0.00 μB per formula unit
Space-group type   No. 15
Crystal system   monoclinic

Record 7
A plane-wave DFT calculation with PBE was carried out for a relaxed structure of La6PmMg2.

Cell lengths 5.020, 5.020, 12.482 Å; angles 90.00, 90.00, 90.00 degrees
Atoms (fractional coordinates):
La1 0.000 0.000 0.000
La2 0.000 0.500 0.214
La3 0.000 0.500 0.786
La4 0.500 0.000 0.214
La5 0.500 0.000 0.786
La6 0.500 0.500 0.000
Pm1 0.000 0.000 0.500
Mg1 0.500 0.500 0.391
Mg2 0.500 0.500 0.609

E above lowest polymorph   130 meV per atom
DFT total energy   -36.33 eV per formula unit
Total magnetization   0.00 μB per formula unit
Space-group type   No. 123
Crystal system   tetragonal

Record 8
A plane-wave DFT calculation with PBE was carried out for a relaxed structure of La2Pm6Mg.

Cell lengths 10.843, 10.843, 5.184 Å; angles 90.00, 90.00, 90.00 degrees
Atoms (fractional coordinates):
La1 0.163 0.163 0.000
La2 0.337 0.663 0.500
La3 0.663 0.337 0.500
La4 0.837 0.837 0.000
Pm1 0.002 0.668 0.500
Pm2 0.168 0.498 0.000
Pm3 0.170 0.830 0.000
Pm4 0.330 0.330 0.500
Pm5 0.332 0.998 0.500
Pm6 0.498 0.168 0.000
Pm7 0.502 0.832 0.000
Pm8 0.668 0.002 0.500
Pm9 0.670 0.670 0.500
Pm10 0.830 0.170 0.000
Pm11 0.832 0.502 0.000
Pm12 0.998 0.332 0.500
Mg1 0.000 0.000 0.500
Mg2 0.500 0.500 0.000

E above lowest polymorph   0 meV per atom
DFT total energy   -39.80 eV per formula unit
Total magnetization   0.00 μB per formula unit
Space-group type   No. 136
Crystal system   tetragonal

Record 9
A plane-wave DFT calculation with PBE was carried out for a relaxed structure of La3PmMg.

Cell lengths 3.879, 9.568, 10.067 Å; angles 90.00, 101.09, 90.00 degrees
Atoms (fractional coordinates):
La1 0.095 0.003 0.190
La2 0.095 0.497 0.190
La3 0.302 0.250 0.607
La4 0.698 0.750 0.393
La5 0.905 0.503 0.810
La6 0.905 0.997 0.810
Pm1 0.494 0.250 0.986
Pm2 0.506 0.750 0.014
Mg1 0.334 0.750 0.666
Mg2 0.666 0.250 0.334

E above lowest polymorph   175 meV per atom
DFT total energy   -20.33 eV per formula unit
Total magnetization   0.00 μB per formula unit
Space-group type   No. 11
Crystal system   monoclinic

Record 10
A plane-wave DFT calculation with PBE was carried out for a relaxed structure of La4Pm4Mg.

Cell lengths 8.843, 8.843, 10.051 Å; angles 90.00, 90.00, 127.35 degrees
Atoms (fractional coordinates):
La1 0.073 0.369 0.250
La2 0.196 0.196 0.000
La3 0.196 0.196 0.500
La4 0.369 0.073 0.750
La5 0.631 0.927 0.250
La6 0.804 0.804 0.000
La7 0.804 0.804 0.500
La8 0.927 0.631 0.750
Pm1 0.080 0.375 0.750
Pm2 0.274 0.726 0.004
Pm3 0.274 0.726 0.496
Pm4 0.375 0.080 0.250
Pm5 0.625 0.920 0.750
Pm6 0.726 0.274 0.504
Pm7 0.726 0.274 0.996
Pm8 0.920 0.625 0.250
Mg1 0.500 0.500 0.250
Mg2 0.500 0.500 0.750

DFT total energy   -38.95 eV per formula unit
Total magnetization   0.00 μB per formula unit
Space-group type   No. 63
Crystal system   orthorhombic

Record 11
A plane-wave DFT calculation with PBE was carried out for a relaxed structure of LaPmMg2.

Cell lengths 3.568, 3.568, 33.457 Å; angles 90.00, 90.00, 120.00 degrees
Atoms (fractional coordinates):
La1 0.000 0.000 0.000
La2 0.333 0.667 0.667
La3 0.667 0.333 0.333
Pm1 0.000 0.000 0.500
Pm2 0.333 0.667 0.167
Pm3 0.667 0.333 0.833
Mg1 0.000 0.000 0.248
Mg2 0.000 0.000 0.752
Mg3 0.333 0.667 0.418
Mg4 0.333 0.667 0.915
Mg5 0.667 0.333 0.085
Mg6 0.667 0.333 0.582

E above lowest polymorph   158 meV per atom
DFT total energy   -12.70 eV per formula unit
Total magnetization   0.00 μB per formula unit
Space-group type   No. 166
Crystal system   trigonal

Record 12
A plane-wave DFT calculation with PBE was carried out for a relaxed structure of LaPm3Mg.

Cell lengths 6.415, 6.415, 10.569 Å; angles 95.88, 95.88, 49.56 degrees
Atoms (fractional coordinates):
La1 0.157 0.157 0.054
La2 0.843 0.843 0.946
Pm1 0.085 0.085 0.376
Pm2 0.228 0.228 0.723
Pm3 0.468 0.468 0.164
Pm4 0.532 0.532 0.836
Pm5 0.772 0.772 0.277
Pm6 0.915 0.915 0.624
Mg1 0.374 0.374 0.449
Mg2 0.626 0.626 0.551

E above lowest polymorph   9 meV per atom
DFT total energy   -20.81 eV per formula unit
Total magnetization   0.00 μB per formula unit
Space-group type   No. 12
Crystal system   monoclinic

Record 13
A plane-wave DFT calculation with PBE was carried out for a relaxed structure of La3Pm2Mg.

Cell lengths 7.244, 7.244, 8.928 Å; angles 90.00, 90.00, 120.00 degrees
Atoms (fractional coordinates):
La1 0.167 0.334 0.168
La2 0.167 0.833 0.168
La3 0.334 0.167 0.832
La4 0.666 0.833 0.168
La5 0.833 0.167 0.832
La6 0.833 0.666 0.832
Pm1 0.000 0.000 0.500
Pm2 0.000 0.500 0.500
Pm3 0.500 0.000 0.500
Pm4 0.500 0.500 0.500
Mg1 0.333 0.667 0.828
Mg2 0.667 0.333 0.172

DFT total energy   -25.92 eV per formula unit
Total magnetization   0.00 μB per formula unit
Space-group type   No. 164
Crystal system   trigonal

Record 14
A plane-wave DFT calculation with PBE was carried out for a relaxed structure of La2PmMg.

Cell lengths 5.134, 5.134, 4.997 Å; angles 90.00, 90.00, 90.00 degrees
Atoms (fractional coordinates):
La1 0.000 0.500 0.000
La2 0.500 0.000 0.000
Pm1 0.000 0.000 0.500
Mg1 0.500 0.500 0.500

E above lowest polymorph   35 meV per atom
DFT total energy   -16.24 eV per formula unit
Total magnetization   0.00 μB per formula unit
Space-group type   No. 123
Crystal system   tetragonal

Record 15
A plane-wave DFT calculation with PBE was carried out for a relaxed structure of LaPm12Mg3.

Cell lengths 5.046, 5.046, 20.340 Å; angles 90.00, 90.00, 90.00 degrees
Atoms (fractional coordinates):
La1 0.000 0.000 0.000
Pm1 0.000 0.500 0.131
Pm2 0.000 0.500 0.378
Pm3 0.000 0.500 0.622
Pm4 0.000 0.500 0.869
Pm5 0.500 0.000 0.131
Pm6 0.500 0.000 0.378
Pm7 0.500 0.000 0.622
Pm8 0.500 0.000 0.869
Pm9 0.500 0.500 0.000
Pm10 0.500 0.500 0.256
Pm11 0.500 0.500 0.500
Pm12 0.500 0.500 0.744
Mg1 0.000 0.000 0.256
Mg2 0.000 0.000 0.500
Mg3 0.000 0.000 0.744

DFT total energy   -66.51 eV per formula unit
Total magnetization   0.00 μB per formula unit
Space-group type   No. 123
Crystal system   tetragonal

Record 16
A plane-wave DFT calculation with PBE was carried out for a relaxed structure of La12PmMg3.

Cell lengths 5.151, 5.151, 20.627 Å; angles 90.00, 90.00, 90.00 degrees
Atoms (fractional coordinates):
La1 0.000 0.000 0.000
La2 0.000 0.000 0.248
La3 0.000 0.000 0.500
La4 0.000 0.000 0.752
La5 0.000 0.500 0.124
La6 0.000 0.500 0.372
La7 0.000 0.500 0.628
La8 0.000 0.500 0.876
La9 0.500 0.000 0.124
La10 0.500 0.000 0.372
La11 0.500 0.000 0.628
La12 0.500 0.000 0.876
Pm1 0.500 0.500 0.500
Mg1 0.500 0.500 0.000
Mg2 0.500 0.500 0.247
Mg3 0.500 0.500 0.753

DFT total energy   -68.89 eV per formula unit
Total magnetization   0.00 μB per formula unit
Space-group type   No. 123
Crystal system   tetragonal

Record 17
A plane-wave DFT calculation with PBE was carried out for a relaxed structure of LaPm2Mg3.

Cell lengths 3.895, 3.895, 11.714 Å; angles 90.00, 90.00, 90.00 degrees
Atoms (fractional coordinates):
La1 0.000 0.000 0.000
Pm1 0.000 0.000 0.337
Pm2 0.000 0.000 0.663
Mg1 0.500 0.500 0.174
Mg2 0.500 0.500 0.500
Mg3 0.500 0.500 0.826

DFT total energy   -19.86 eV per formula unit
Total magnetization   0.00 μB per formula unit
Space-group type   No. 123
Crystal system   tetragonal

Record 18
A plane-wave DFT calculation with PBE was carried out for a relaxed structure of La4Pm7Mg.

Cell lengths 6.137, 7.086, 10.220 Å; angles 69.73, 89.06, 89.95 degrees
Atoms (fractional coordinates):
La1 0.233 0.409 0.236
La2 0.235 0.855 0.237
La3 0.765 0.145 0.763
La4 0.767 0.591 0.764
Pm1 0.251 0.281 0.937
Pm2 0.254 0.822 0.856
Pm3 0.258 0.454 0.590
Pm4 0.500 0.000 0.500
Pm5 0.742 0.546 0.410
Pm6 0.746 0.178 0.144
Pm7 0.749 0.719 0.063
Mg1 0.000 0.000 0.500

DFT total energy   -53.59 eV per formula unit
Total magnetization   0.00 μB per formula unit
Space-group type   No. 2
Crystal system   triclinic

Record 19
A plane-wave DFT calculation with PBE was carried out for a relaxed structure of La5PmMg6.

Cell lengths 5.579, 7.908, 8.818 Å; angles 90.00, 108.36, 90.00 degrees
Atoms (fractional coordinates):
La1 0.000 0.000 0.000
La2 0.332 0.000 0.663
La3 0.334 0.500 0.667
La4 0.666 0.500 0.333
La5 0.668 0.000 0.337
Pm1 0.000 0.500 0.000
Mg1 0.165 0.254 0.330
Mg2 0.165 0.746 0.330
Mg3 0.500 0.254 0.000
Mg4 0.500 0.746 0.000
Mg5 0.835 0.254 0.670
Mg6 0.835 0.746 0.670

DFT total energy   -40.33 eV per formula unit
Total magnetization   0.00 μB per formula unit
Space-group type   No. 10
Crystal system   monoclinic

Record 20
A plane-wave DFT calculation with PBE was carried out for a relaxed structure of LaPmMg4.

Cell lengths 6.157, 6.157, 6.157 Å; angles 60.00, 60.00, 60.00 degrees
Atoms (fractional coordinates):
La1 0.000 0.000 0.000
Pm1 0.250 0.250 0.250
Mg1 0.126 0.625 0.625
Mg2 0.625 0.126 0.625
Mg3 0.625 0.625 0.126
Mg4 0.625 0.625 0.625

DFT total energy   -16.76 eV per formula unit
Total magnetization   0.00 μB per formula unit
Space-group type   No. 216
Crystal system   cubic

Record 21
A plane-wave DFT calculation with PBE was carried out for a relaxed structure of LaPm7Mg2.

Cell lengths 12.298, 12.298, 3.553 Å; angles 90.00, 90.00, 137.27 degrees
Atoms (fractional coordinates):
La1 0.000 0.000 0.000
Pm1 0.072 0.302 0.500
Pm2 0.302 0.072 0.500
Pm3 0.364 0.636 0.000
Pm4 0.500 0.500 0.500
Pm5 0.636 0.364 0.000
Pm6 0.698 0.928 0.500
Pm7 0.928 0.698 0.500
Mg1 0.242 0.758 0.500
Mg2 0.758 0.242 0.500

E above lowest polymorph   216 meV per atom
DFT total energy   -37.83 eV per formula unit
Total magnetization   0.00 μB per formula unit
Space-group type   No. 65
Crystal system   orthorhombic